[1]
# CeCuAg4, relaxed, DFT PBE
data_CeCuAg4
_cell_length_a 7.8424
_cell_length_b 7.8424
_cell_length_c 7.8424
_cell_angle_alpha 90.00
_cell_angle_beta 90.00
_cell_angle_gamma 90.00
_symmetry_space_group_name_H-M 'F -4 3 m'
_symmetry_Int_Tables_number 216
_symmetry_space_group_name_Hall 'F -4 2 3'
loop_
_atom_site_label
_atom_site_type_symbol
_atom_site_fract_x
_atom_site_fract_y
_atom_site_fract_z
Ce1 Ce 0.0000 0.0000 0.0000
Cu1 Cu 0.2500 0.2500 0.7500
Ag1 Ag 0.1242 0.1242 0.3758
# * formation enthalpy at 0 K: 0.03 eV per atom
# * DOS(E_F): 1.47 states/eV/atom
# * ρ: 8.75 g/cm3
# * total DFT energy (no corrections): -3.55 eV per atom



[2]
# TbEr2Tm4, relaxed, DFT PBE
data_TbEr2Tm4
_cell_length_a 6.1570
_cell_length_b 3.5559
_cell_length_c 19.6130
_cell_angle_alpha 90.00
_cell_angle_beta 95.99
_cell_angle_gamma 90.00
_symmetry_space_group_name_H-M 'C 1 m 1'
_symmetry_Int_Tables_number 8
loop_
_symmetry_equiv_pos_as_xyz
'x,y,z'
'x,-y,z'
'x+1/2,y+1/2,z'
'x+1/2,-y+1/2,z'
loop_
_atom_site_label
_atom_site_type_symbol
_atom_site_fract_x
_atom_site_fract_y
_atom_site_fract_z
Tb1 Tb 0.0000 0.0000 0.0000
Er1 Er 0.0945 0.0000 0.2872
Er2 Er 0.1888 0.0000 0.5725
Tm1 Tm 0.2850 0.0000 0.8558
Tm2 Tm 0.3078 0.5000 0.4304
Tm3 Tm 0.3812 0.0000 0.1443
Tm4 Tm 0.4032 0.5000 0.7146
# * ΔE to the lowest computed polymorph: 0.0000 eV per atom
# * formation enthalpy at 0 K: 0.00 eV per atom
# * DOS(E_F): 1.62 states/eV/atom
# * ρ: 9.09 g/cm3
# * total DFT energy (no corrections): -4.52 eV per atom



[3]
# ErZnSi2Ni4, relaxed, DFT PBE
data_ErZnSi2Ni4
_cell_length_a 3.9328
_cell_length_b 3.9328
_cell_length_c 24.5937
_cell_angle_alpha 90.00
_cell_angle_beta 90.00
_cell_angle_gamma 120.00
_symmetry_space_group_name_H-M 'R -3 m'
_symmetry_Int_Tables_number 166
_symmetry_space_group_name_Hall '-R 3 2"'
loop_
_atom_site_label
_atom_site_type_symbol
_atom_site_fract_x
_atom_site_fract_y
_atom_site_fract_z
Er1 Er 0.0000 0.0000 0.0000
Zn1 Zn 0.0000 0.0000 0.5000
Si1 Si 0.0000 0.0000 0.2436
Ni1 Ni 0.0000 0.0000 0.1288
Ni2 Ni 0.0000 0.0000 0.4050
# * formation energy (no corrections): -0.51 eV per atom
# * DOS(E_F): 0.55 states/eV/atom
# * ρ: 7.92 g/cm3
# * total DFT energy (no corrections): -5.48 eV per atom



[4]
# YZnCdRh, relaxed, DFT PBE
data_YZnCdRh
_cell_length_a 6.7618
_cell_length_b 6.7618
_cell_length_c 6.7618
_cell_angle_alpha 90.00
_cell_angle_beta 90.00
_cell_angle_gamma 90.00
_symmetry_space_group_name_H-M 'F -4 3 m'
_symmetry_Int_Tables_number 216
_symmetry_space_group_name_Hall 'F -4 2 3'
loop_
_atom_site_label
_atom_site_type_symbol
_atom_site_fract_x
_atom_site_fract_y
_atom_site_fract_z
Y1 Y 0.0000 0.0000 0.0000
Zn1 Zn 0.2500 0.2500 0.7500
Cd1 Cd 0.0000 0.0000 0.5000
Rh1 Rh 0.2500 0.2500 0.2500
# * formation enthalpy at 0 K: -0.37 eV per atom
# * DOS(E_F): 0.68 states/eV/atom
# * ρ: 7.94 g/cm3
# * total DFT energy (no corrections): -4.37 eV per atom



[5]
# LiCa2B, relaxed, DFT PBE
data_LiCa2B
_cell_length_a 10.0028
_cell_length_b 10.0028
_cell_length_c 4.4213
_cell_angle_alpha 90.00
_cell_angle_beta 90.00
_cell_angle_gamma 90.00
_symmetry_space_group_name_H-M 'I -4 2 d'
_symmetry_Int_Tables_number 122
_symmetry_space_group_name_Hall 'I -4 2bw'
loop_
_atom_site_label
_atom_site_type_symbol
_atom_site_fract_x
_atom_site_fract_y
_atom_site_fract_z
Li1 Li 0.0000 0.0000 0.0000
Ca1 Ca 0.0721 0.2500 0.6250
B1 B 0.0000 0.0000 0.5000
# * formation enthalpy at 0 K: 0.36 eV per atom
# * DOS(E_F): 0.58 states/eV/atom
# * ρ: 1.47 g/cm3
# * total DFT energy (no corrections): -2.79 eV per atom



[6]
# Li12CuRh6, relaxed, DFT PBE
data_Li12CuRh6
_cell_length_a 9.9359
_cell_length_b 9.9359
_cell_length_c 9.2127
_cell_angle_alpha 90.00
_cell_angle_beta 90.00
_cell_angle_gamma 120.00
_symmetry_space_group_name_H-M 'R -3 m'
_symmetry_Int_Tables_number 166
_symmetry_space_group_name_Hall '-R 3 2"'
loop_
_atom_site_label
_atom_site_type_symbol
_atom_site_fract_x
_atom_site_fract_y
_atom_site_fract_z
Li1 Li 0.0000 0.2543 0.0000
Li2 Li 0.0719 0.5360 0.1103
Cu1 Cu 0.0000 0.0000 0.0000
Rh1 Rh 0.0888 0.1776 0.7690
# * formation enthalpy at 0 K: -0.04 eV per atom
# * DOS(E_F): 0.67 states/eV/atom
# * ρ: 4.83 g/cm3
# * total DFT energy (no corrections): -3.78 eV per atom



[7]
# Ni3SbSe, relaxed, DFT PBE
data_Ni3SbSe
_cell_length_a 4.6781
_cell_length_b 4.6781
_cell_length_c 4.6781
_cell_angle_alpha 90.00
_cell_angle_beta 90.00
_cell_angle_gamma 90.00
_symmetry_space_group_name_H-M 'P m -3 m'
_symmetry_Int_Tables_number 221
_symmetry_space_group_name_Hall '-P 4 2 3'
loop_
_atom_site_label
_atom_site_type_symbol
_atom_site_fract_x
_atom_site_fract_y
_atom_site_fract_z
Ni1 Ni 0.0000 0.0000 0.5000
Sb1 Sb 0.0000 0.0000 0.0000
Se1 Se 0.5000 0.5000 0.5000
# * ΔE to the lowest computed polymorph: 0.6041 eV per atom
# * formation energy (no corrections): 0.91 eV per atom
# * DOS(E_F): 2.06 states/eV/atom
# * ρ: 6.11 g/cm3
# * total DFT energy (no corrections): -4.08 eV per atom



[8]
# Sr2AcOsN4, relaxed, DFT PBE
data_Sr2AcOsN4
_cell_length_a 3.6257
_cell_length_b 12.3693
_cell_length_c 12.7326
_cell_angle_alpha 90.00
_cell_angle_beta 90.00
_cell_angle_gamma 90.00
_symmetry_space_group_name_H-M 'C m c m'
_symmetry_Int_Tables_number 63
_symmetry_space_group_name_Hall '-C 2c 2'
loop_
_atom_site_label
_atom_site_type_symbol
_atom_site_fract_x
_atom_site_fract_y
_atom_site_fract_z
Sr1 Sr 0.0000 0.1311 0.0359
Ac1 Ac 0.0000 0.3973 0.2500
Os1 Os 0.0000 0.3321 0.7500
N1 N 0.0000 0.0993 0.2500
N2 N 0.0000 0.2255 0.6429
N3 N 0.0000 0.5000 0.0000
# * formation energy (no corrections): -0.39 eV per atom
# * DOS(E_F): 0.61 states/eV/atom
# * ρ: 7.54 g/cm3
# * total DFT energy (no corrections): -6.89 eV per atom